[1]
VASP calculation (PBE) on ZrCoNiPb after structural relaxation.

Summary:
The value obtained for the excess energy over the best structure of this formula in the dataset is 7.18 kcal/mol of atoms. The value obtained for the total magnetic moment is 0.02 μB/cell.

Cell: 4.5636 4.5636 4.5636 Å, 60.00 60.00 60.00°
Last column: nearest neighbours and their distance in Å.
Positions (direct):
Ni (0.5000, 0.5000, 0.5000)  4 Co 2.79, 4 Zr 2.79
Zr (0.2500, 0.2500, 0.2500)  4 Pb 2.79, 4 Ni 2.79
Pb (0.0000, 0.0000, 0.0000)  4 Zr 2.79, 4 Co 2.79
Co (0.7500, 0.7500, 0.7500)  4 Ni 2.79, 4 Pb 2.79

[2]
VASP calculation (PBE) on NdNp2P3 after structural relaxation.

Summary:
The value obtained for the total magnetic moment is 7.47 μB/cell. As for the total energy: -53.38 eV for the cell shown.

Cell: 4.0269 4.0269 9.8697 Å, 90.00 90.00 120.00°
Last column: nearest neighbours and their distance in Å.
Positions (direct):
Np (0.6667, 0.3333, 0.1622)  6 P 2.79-2.82
Np (0.3333, 0.6667, 0.8378)  6 P 2.79-2.82
P (0.6667, 0.3333, 0.6813)  3 Np 2.79, 3 Nd 2.93
P (0.0000, 0.0000, 0.0000)  6 Np 2.82
P (0.3333, 0.6667, 0.3187)  3 Np 2.79, 3 Nd 2.93
Nd (0.0000, 0.0000, 0.5000)  6 P 2.93

[3]
VASP calculation (PBE) on GdSbTe after structural relaxation.

Summary:
The value obtained for the total magnetic moment is 0.00 μB/cell. As for the total energy: -13.00 eV for the cell shown.

Cell: 5.1680 5.1680 5.1680 Å, 60.00 60.00 60.00°
Last column: nearest neighbours and their distance in Å.
Positions (direct):
Te (0.0000, 0.0000, 0.0000)  4 Gd 3.16, 4 Sb 3.16
Gd (0.2500, 0.2500, 0.2500)  4 Te 3.16
Sb (0.7500, 0.7500, 0.7500)  4 Te 3.16

[4]
VASP calculation (PBE) on PrSc2As3 after structural relaxation.

Summary:
The value obtained for the total magnetic moment is 0.00 μB/cell. As for the total energy: -39.66 eV for the cell shown.

Cell: 4.0193 4.0193 9.7969 Å, 90.00 90.00 120.00°
Last column: nearest neighbours and their distance in Å.
Positions (direct):
Sc (0.6667, 0.3333, 0.1558)  6 As 2.77-2.78
Sc (0.3333, 0.6667, 0.8442)  6 As 2.77-2.78
As (0.6667, 0.3333, 0.6906)  3 Sc 2.77, 3 Pr 2.98
As (0.3333, 0.6667, 0.3094)  3 Sc 2.77, 3 Pr 2.98
As (0.0000, 0.0000, 0.0000)  6 Sc 2.78
Pr (0.0000, 0.0000, 0.5000)  6 As 2.98

[5]
VASP calculation (PBE) on Al4ReOs after structural relaxation.

Summary:
The value obtained for the total magnetic moment is 0.51 μB/cell. As for the total energy: -41.02 eV for the cell shown.

Cell: 3.1962 3.1962 8.4277 Å, 90.00 90.00 90.00°
Last column: nearest neighbours and their distance in Å.
Positions (direct):
Al (0.5000, 0.5000, 0.1599)  4 Os 2.63, 5 Al 2.69-2.71, 1 Re 2.87
Al (0.0000, 0.0000, 0.6620)  4 Re 2.64, 5 Al 2.71-2.73, 1 Os 2.85
Al (0.5000, 0.5000, 0.8401)  4 Os 2.63, 5 Al 2.69-2.71, 1 Re 2.87
Al (0.0000, 0.0000, 0.3380)  4 Re 2.64, 5 Al 2.71-2.73, 1 Os 2.85
Os (0.0000, 0.0000, 0.0000)  10 Al 2.63-2.85
Re (0.5000, 0.5000, 0.5000)  10 Al 2.64-2.87

[6]
VASP calculation (PBE) on LiY2Tc after structural relaxation.

Summary:
The value obtained for the total magnetic moment is 0.01 μB/cell. As for the total energy: -23.66 eV for the cell shown.

Cell: 4.9017 4.9017 4.9017 Å, 60.00 60.00 60.00°
Last column: nearest neighbours and their distance in Å.
Positions (direct):
Y (0.0000, 0.0000, 0.0000)  4 Tc 3.00, 4 Y 3.00
Y (0.7500, 0.7500, 0.7500)  4 Li 3.00, 4 Y 3.00
Li (0.5000, 0.5000, 0.5000)  4 Y 3.00, 4 Tc 3.00
Tc (0.2500, 0.2500, 0.2500)  4 Y 3.00, 4 Li 3.00

[7]
VASP calculation (PBE) on CdAu9 after structural relaxation.

Summary:
The calculated formation energy is 0.11 eV/f.u.

Cell: 2.9373 2.9373 55.6843 Å, 90.00 90.00 90.00°
Last column: nearest neighbours and their distance in Å.
Positions (direct):
Au (0.5000, 0.0000, 0.7820)  12 Au 2.94-2.98
Au (0.0000, 0.5000, 0.5935)  12 Au 2.94-2.95
Au (0.0000, 0.5000, 0.5186)  12 Au 2.94
Au (0.0000, 0.5000, 0.8203)  8 Au 2.94-2.98, 4 Cd 3.05
Au (0.0000, 0.5000, 0.2180)  12 Au 2.94-2.98
Au (0.5000, 0.0000, 0.7063)  12 Au 2.94-2.95
Au (0.5000, 0.0000, 0.2561)  12 Au 2.94-2.97
Au (0.5000, 0.0000, 0.4065)  12 Au 2.94-2.95
Au (0.0000, 0.5000, 0.2937)  12 Au 2.94-2.95
Au (0.0000, 0.5000, 0.7439)  12 Au 2.94-2.97
Au (0.0000, 0.5000, 0.6686)  12 Au 2.94-2.95
Au (0.5000, 0.0000, 0.5560)  12 Au 2.94-2.95
Au (0.5000, 0.0000, 0.6310)  12 Au 2.94-2.95
Au (0.0000, 0.5000, 0.4440)  12 Au 2.94-2.95
Au (0.5000, 0.0000, 0.3314)  12 Au 2.94-2.95
Au (0.5000, 0.0000, 0.4814)  12 Au 2.94
Au (0.0000, 0.5000, 0.3690)  12 Au 2.94-2.95
Au (0.5000, 0.0000, 0.1797)  8 Au 2.94-2.98, 4 Cd 3.05
Cd (0.5000, 0.0000, 0.8604)  4 Cd 2.94, 4 Au 3.05
Cd (0.0000, 0.5000, 0.1396)  4 Cd 2.94, 4 Au 3.05

[8]
VASP calculation (PBE) on Tm2Al4NiPd after structural relaxation.

Summary:
The value obtained for the total magnetic moment is 0.00 μB/cell. As for the total energy: -40.41 eV for the cell shown.

Cell: 6.9295 5.4162 5.4162 Å, 45.19 90.00 90.00°
Last column: nearest neighbours and their distance in Å.
Positions (direct):
Pd (0.5000, 0.2869, 0.2869)  6 Al 2.56-2.61, 1 Tm 2.82
Al (0.1904, 0.1465, 0.1465)  2 Ni 2.55, 1 Pd 2.56, 1 Al 2.64
Al (0.8096, 0.1465, 0.1465)  2 Ni 2.55, 1 Pd 2.56, 1 Al 2.64
Al (0.7054, 0.8526, 0.8526)  1 Ni 2.48, 2 Pd 2.61
Al (0.2946, 0.8526, 0.8526)  1 Ni 2.48, 2 Pd 2.61
Ni (0.0000, 0.7118, 0.7118)  6 Al 2.48-2.55, 1 Tm 2.77
Tm (0.5000, 0.5684, 0.5684)  3 Pd 2.82-3.02, 4 Al 3.09
Tm (0.0000, 0.4345, 0.4345)  3 Ni 2.77-3.05, 4 Al 3.03

[9]
VASP calculation (PBE) on Y2Te6Os after structural relaxation.

Summary:
The value obtained for the total magnetic moment is 0.01 μB/cell. As for the total energy: -48.40 eV for the cell shown.

Cell: 8.3569 8.3569 3.9723 Å, 90.00 90.00 120.00°
Last column: nearest neighbours and their distance in Å.
Positions (direct):
Y (0.6667, 0.3333, 0.5000)  9 Te 3.16-3.33
Y (0.3333, 0.6667, 0.5000)  9 Te 3.16-3.33
Te (0.5581, 0.0000, 0.0000)  4 Y 3.16, 2 Te 3.42
Te (0.4419, 0.4419, 0.0000)  4 Y 3.16, 2 Te 3.42
Te (0.7745, 0.7745, 0.5000)  2 Os 2.74
Te (0.0000, 0.5581, 0.0000)  4 Y 3.16, 2 Te 3.42
Te (0.2255, 0.0000, 0.5000)  2 Os 2.74
Te (0.0000, 0.2255, 0.5000)  2 Os 2.74
Os (0.0000, 0.0000, 0.0000)  6 Te 2.74

[10]
VASP calculation (PBE) on AgSe after structural relaxation.

Summary:
As for the total energy: -50.74 eV for the cell shown.

Cell: 7.1833 7.1833 7.3247 Å, 90.00 90.00 90.00°
Last column: nearest neighbours and their distance in Å.
Positions (direct):
Ag (0.2563, 0.9588, 0.5000)  4 Se 2.59-2.63
Ag (0.0000, 0.5000, 0.5000)  4 Se 2.56
Ag (0.7437, 0.0412, 0.5000)  4 Se 2.59-2.63
Ag (0.5000, 0.5000, 0.7500)  4 Se 2.62
Ag (0.9588, 0.7437, 0.0000)  4 Se 2.59-2.63
Ag (0.0412, 0.2563, 0.0000)  4 Se 2.59-2.63
Ag (0.5000, 0.5000, 0.2500)  4 Se 2.62
Ag (0.5000, 0.0000, 0.0000)  4 Se 2.56
Se (0.1884, 0.6885, 0.7328)  4 Ag 2.56-2.63
Se (0.6885, 0.8116, 0.2328)  4 Ag 2.56-2.63
Se (0.3115, 0.1884, 0.2328)  4 Ag 2.56-2.63
Se (0.8116, 0.3115, 0.2672)  4 Ag 2.56-2.63
Se (0.8116, 0.3115, 0.7328)  4 Ag 2.56-2.63
Se (0.1884, 0.6885, 0.2672)  4 Ag 2.56-2.63
Se (0.6885, 0.8116, 0.7672)  4 Ag 2.56-2.63
Se (0.3115, 0.1884, 0.7672)  4 Ag 2.56-2.63

[11]
VASP calculation (PBE) on KGdFeSe3 after structural relaxation.

Summary:
The value obtained for the excess energy over the best structure of this formula in the dataset is 0.31 kcal/mol of atoms. The value obtained for the total magnetic moment is 7.99 μB/cell.

Cell: 7.6899 7.6899 10.8833 Å, 90.00 90.00 31.26°
Last column: nearest neighbours and their distance in Å.
Positions (direct):
Se (0.3736, 0.3736, 0.4310)  1 Fe 2.42
Se (0.9340, 0.9340, 0.7500)  2 Fe 2.52
Se (0.3736, 0.3736, 0.0690)  1 Fe 2.42
Se (0.6264, 0.6264, 0.5690)  1 Fe 2.42
Se (0.6264, 0.6264, 0.9310)  1 Fe 2.42
Se (0.0660, 0.0660, 0.2500)  2 Fe 2.52
K (0.2534, 0.2534, 0.7500)  6 Se 3.38-3.42
K (0.7466, 0.7466, 0.2500)  6 Se 3.38-3.42
Gd (0.0000, 0.0000, 0.5000)  6 Se 2.89
Gd (0.0000, 0.0000, 0.0000)  6 Se 2.89
Fe (0.4687, 0.4687, 0.2500)  4 Se 2.42-2.52
Fe (0.5313, 0.5313, 0.7500)  4 Se 2.42-2.52

[12]
VASP calculation (PBE) on Er2GaBiS6 after structural relaxation.

Summary:
The value obtained for the total magnetic moment is 0.01 μB/cell. As for the total energy: -107.53 eV for the cell shown.

Cell: 11.4860 3.8934 12.7449 Å, 90.00 116.67 90.00°
Last column: nearest neighbours and their distance in Å.
Positions (direct):
S (0.3433, 0.7500, 0.4344)  3 Er 2.69-2.71
S (0.0049, 0.2500, 0.7719)  2 Bi 2.67, 1 Er 2.70
S (0.6533, 0.2500, 0.0718)  1 Ga 2.25
S (0.5382, 0.7500, 0.2632)  1 Ga 2.36
S (0.3467, 0.7500, 0.9282)  1 Ga 2.25
S (0.2356, 0.2500, 0.1301)  2 Ga 2.36
S (0.7644, 0.7500, 0.8699)  2 Ga 2.36
S (0.8593, 0.2500, 0.3971)  1 Bi 2.68, 2 Er 2.76
S (0.6567, 0.2500, 0.5656)  3 Er 2.69-2.71
S (0.4618, 0.2500, 0.7368)  1 Ga 2.36
S (0.1407, 0.7500, 0.6029)  1 Bi 2.68, 2 Er 2.76
S (0.9951, 0.7500, 0.2281)  2 Bi 2.67, 1 Er 2.70
Bi (0.0884, 0.2500, 0.3882)  3 S 2.67-2.68
Bi (0.9116, 0.7500, 0.6118)  3 S 2.67-2.68
Er (0.4436, 0.2500, 0.3542)  6 S 2.69-2.78
Er (0.2414, 0.2500, 0.7746)  6 S 2.64-2.78
Er (0.7586, 0.7500, 0.2254)  6 S 2.64-2.78
Er (0.5564, 0.7500, 0.6458)  6 S 2.69-2.78
Ga (0.6685, 0.2500, 0.9019)  4 S 2.25-2.36
Ga (0.3315, 0.7500, 0.0981)  4 S 2.25-2.36

Copy entry 7 word for word.
VASP calculation (PBE) on CdAu9 after structural relaxation.

Summary:
The calculated formation energy is 0.11 eV/f.u.

Cell: 2.9373 2.9373 55.6843 Å, 90.00 90.00 90.00°
Last column: nearest neighbours and their distance in Å.
Positions (direct):
Au (0.5000, 0.0000, 0.7820)  12 Au 2.94-2.98
Au (0.0000, 0.5000, 0.5935)  12 Au 2.94-2.95
Au (0.0000, 0.5000, 0.5186)  12 Au 2.94
Au (0.0000, 0.5000, 0.8203)  8 Au 2.94-2.98, 4 Cd 3.05
Au (0.0000, 0.5000, 0.2180)  12 Au 2.94-2.98
Au (0.5000, 0.0000, 0.7063)  12 Au 2.94-2.95
Au (0.5000, 0.0000, 0.2561)  12 Au 2.94-2.97
Au (0.5000, 0.0000, 0.4065)  12 Au 2.94-2.95
Au (0.0000, 0.5000, 0.2937)  12 Au 2.94-2.95
Au (0.0000, 0.5000, 0.7439)  12 Au 2.94-2.97
Au (0.0000, 0.5000, 0.6686)  12 Au 2.94-2.95
Au (0.5000, 0.0000, 0.5560)  12 Au 2.94-2.95
Au (0.5000, 0.0000, 0.6310)  12 Au 2.94-2.95
Au (0.0000, 0.5000, 0.4440)  12 Au 2.94-2.95
Au (0.5000, 0.0000, 0.3314)  12 Au 2.94-2.95
Au (0.5000, 0.0000, 0.4814)  12 Au 2.94
Au (0.0000, 0.5000, 0.3690)  12 Au 2.94-2.95
Au (0.5000, 0.0000, 0.1797)  8 Au 2.94-2.98, 4 Cd 3.05
Cd (0.5000, 0.0000, 0.8604)  4 Cd 2.94, 4 Au 3.05
Cd (0.0000, 0.5000, 0.1396)  4 Cd 2.94, 4 Au 3.05